! GGA-PBE ThZnCd, optimized geometry; values from VASP
! energy of formation from the pure elements: -185 meV per atom
! ρ: 9.5 g cm⁻³
! symmetry: C2/m, No. 12
! total energy: -3.39 eV per atom
&SYSTEM
  ibrav = 0, nat = 6, ntyp = 3
/
ATOMIC_SPECIES
Th 232.04 Th.upf
Zn 65.41 Zn.upf
Cd 112.41 Cd.upf
ATOMIC_POSITIONS angstrom
Th -0.9990 0.0000 1.5371
Th 7.2684 0.0000 3.9550
Zn 2.2795 0.0000 1.7291
Zn 3.9899 0.0000 3.7630
Cd -0.4847 0.0000 4.8031
Cd 6.7541 0.0000 0.6890
CELL_PARAMETERS angstrom
5.4616 -2.3803 0.0000
5.4616 2.3803 0.0000
-4.6539 0.0000 5.4921